Record 1
A plane-wave DFT calculation with PBE-GGA was carried out for KMgCu2I after structural relaxation.

```
5
Lattice="5.3106 0.0000 0.0000 0.0000 5.3106 0.0000 0.0000 0.0000 7.3386" Properties=species:S:1:pos:R:3 pbc="T T T"
K 0.0000 0.0000 0.0000
Mg 0.0000 0.0000 3.6693
Cu 0.0000 2.6553 0.0000
Cu 2.6553 0.0000 0.0000
I 2.6553 2.6553 3.6693
```

Values from the calculation:
M_tot (μB/cell): 0.00
SG: No. 123
E_form (uncorrected) (eV per atom): 1.122


Record 2
A plane-wave DFT calculation with PBE-GGA was carried out for KMgCu2I6 after structural relaxation.

```
20
Lattice="7.7620 -7.1749 0.0000 7.7620 7.1749 0.0000 -3.8830 0.0000 7.7461" Properties=species:S:1:pos:R:3 pbc="T T T"
K 4.8497 5.0048 5.8096
K 6.7912 -5.0048 1.9365
Mg 6.7912 4.5471 1.9365
Mg 4.8497 -4.5471 5.8096
Cu 1.5180 0.8683 6.5130
Cu 3.4595 -0.8683 2.6399
Cu 8.1814 0.8683 5.1062
Cu 10.1229 -0.8683 1.2331
I -0.7807 0.8630 5.2548
I 2.1566 3.4184 7.3194
I 1.1608 -0.8630 1.3817
I 3.3576 0.6627 4.6907
I 7.5427 3.4184 4.2997
I 5.2992 -0.6627 0.8177
I 6.3417 0.6627 6.9284
I 4.0982 -3.4184 3.4464
I 8.2832 -0.6627 3.0554
I 10.4800 0.8630 6.3644
I 9.4842 -3.4184 0.4267
I 12.4216 -0.8630 2.4913
```

Values from the calculation:
M_tot (μB/cell): 0.00
SG: No. 15
E_form (uncorrected) (eV per atom): -0.607


Record 3
A plane-wave DFT calculation with PBE-GGA was carried out for KMnCu2I8 after structural relaxation.

```
12
Lattice="3.5098 2.0264 10.3080 -3.5098 2.0264 10.3080 0.0000 -4.0528 10.3080" Properties=species:S:1:pos:R:3 pbc="T T T"
K 0.0000 0.0000 0.0000
Mn 0.0000 0.0000 15.4620
Cu 0.0000 0.0000 7.5423
Cu 0.0000 0.0000 23.3816
I -2.2127 0.0767 13.8435
I -1.1728 -1.8779 17.0804
I 0.0000 0.0000 10.0851
I 1.0399 -1.9546 13.8435
I -1.0399 1.9546 17.0804
I 0.0000 0.0000 20.8388
I 1.1728 1.8779 13.8435
I 2.2127 -0.0767 17.0804
```

Values from the calculation:
M_tot (μB/cell): 2.59
SG: No. 148
E_form (uncorrected) (eV per atom): -0.352


Record 4
A plane-wave DFT calculation with PBE-GGA was carried out for K2MnCu2I6 after structural relaxation.

```
11
Lattice="7.0574 -4.0993 0.0000 7.0574 4.0993 0.0000 -4.3972 0.0000 7.2911" Properties=species:S:1:pos:R:3 pbc="T T T"
K 2.2905 0.0000 1.4705
K 7.4270 0.0000 5.8206
Mn -2.1986 0.0000 3.6456
Cu 3.0499 0.0000 5.3398
Cu 6.6677 0.0000 1.9513
I 5.3524 2.1328 1.5722
I 0.6403 0.0000 4.5606
I 4.3652 2.1328 5.7189
I 5.3524 -2.1328 1.5722
I 9.0773 0.0000 2.7305
I 4.3652 -2.1328 5.7189
```

Values from the calculation:
M_tot (μB/cell): 4.98
SG: No. 12
E_form (uncorrected) (eV per atom): -0.644


Record 5
A plane-wave DFT calculation with PBE-GGA was carried out for KMnCu2I6 after structural relaxation.

```
20
Lattice="7.6631 -6.9308 0.0000 7.6631 6.9308 0.0000 -3.3990 0.0000 7.7803" Properties=species:S:1:pos:R:3 pbc="T T T"
K 5.1138 4.7891 5.8353
K 6.8133 -4.7891 1.9451
Mn 6.8133 4.3107 1.9451
Mn 5.1138 -4.3107 5.8353
Cu 1.9442 0.7657 6.3442
Cu 3.6437 -0.7657 2.4540
Cu 8.2834 0.7657 5.3263
Cu 9.9829 -0.7657 1.4362
I -0.4939 0.9514 5.2657
I 2.5458 3.1620 7.5067
I 1.2055 -0.9514 1.3756
I 3.5492 0.9618 4.3427
I 7.6819 3.1620 4.1638
I 5.2487 -0.9618 0.4526
I 6.6784 0.9618 7.3278
I 4.2453 -3.1620 3.6165
I 8.3779 -0.9618 3.4376
I 10.7216 0.9514 6.4048
I 9.3813 -3.1620 0.2736
I 12.4211 -0.9514 2.5146
```

Values from the calculation:
M_tot (μB/cell): 7.82
SG: No. 15
E_form (uncorrected) (eV per atom): -0.451


Record 6
A plane-wave DFT calculation with PBE-GGA was carried out for K2CuMoI6 after structural relaxation.

```
10
Lattice="0.0000 5.7036 5.7036 5.7036 0.0000 5.7036 5.7036 5.7036 0.0000" Properties=species:S:1:pos:R:3 pbc="T T T"
K 2.8518 2.8518 2.8518
K 8.5553 8.5553 8.5553
Cu 0.0000 0.0000 0.0000
Mo 5.7036 5.7036 5.7036
I 5.7036 5.7036 2.8686
I 5.7036 2.8686 5.7036
I 8.5385 5.7036 5.7036
I 2.8686 5.7036 5.7036
I 5.7036 8.5385 5.7036
I 5.7036 5.7036 8.5385
```

Values from the calculation:
M_tot (μB/cell): 3.00
SG: No. 225
E_form (uncorrected) (eV per atom): -0.560


Record 7
A plane-wave DFT calculation with PBE-GGA was carried out for KCuIN2 after structural relaxation.

```
5
Lattice="4.3313 0.0000 0.0000 0.0000 4.3313 0.0000 0.0000 0.0000 5.9062" Properties=species:S:1:pos:R:3 pbc="T T T"
K 0.0000 0.0000 0.0000
Cu 2.1657 2.1657 2.9531
I 2.1657 2.1657 0.0000
N 0.0000 2.1657 2.9531
N 2.1657 0.0000 2.9531
```

Values from the calculation:
M_tot (μB/cell): 4.31
SG: No. 123
E_form (uncorrected) (eV per atom): 1.138
Energy above the most stable polymorph in this dataset (eV per formula unit): 0.00


Record 8
A plane-wave DFT calculation with PBE-GGA was carried out for KCuI2N after structural relaxation.

```
5
Lattice="6.0076 0.0000 0.0000 0.0000 6.0076 0.0000 0.0000 0.0000 3.7784" Properties=species:S:1:pos:R:3 pbc="T T T"
K 0.0000 0.0000 0.0000
Cu 3.0038 3.0038 1.8892
I 0.0000 3.0038 1.8892
I 3.0038 0.0000 1.8892
N 3.0038 3.0038 0.0000
```

Values from the calculation:
M_tot (μB/cell): 2.21
SG: No. 123
E_form (uncorrected) (eV per atom): 0.109
Energy above the most stable polymorph in this dataset (eV per formula unit): 0.00